## Mn2TlCoHg (PBE)

Data for a geometry-optimized Mn2TlCoHg structure.

```
5
Lattice="-0.1505 -4.9708 0.8630 4.2995 -0.7050 -3.3106 3.1186 0.5870 3.9251" Properties=species:S:1:pos:R:3 pbc="T T T"
Mn 1.5593 0.2935 1.9625
Mn -0.0753 -2.4854 0.4315
Co 3.6338 -2.5444 0.7388
Hg 0.0000 0.0000 0.0000
Tl 2.1497 -0.3525 -1.6553
```

## Properties
DFT total energy, eV per atom: -3.98
E_form, meV/atom: 1645.8
M_tot, μB/cell: 8.65
N(E_F), states/eV per atom: 2.3299